Compound: BaReTc
Source: Alexandria via LeMat-Bulk
Functional: PBE-GGA
Structure: relaxed

- final energy (eV/cell) = -21.3
- relative energy among the computed polymorphs (meV per atom) = 490.0
- calculated formation energy (eV per atom) = 1.141
- mass density (g/cm3) = 11.018
- V (Å³ per atom) = 21.18

Cell: 3.0580 3.0580 7.8444 Å, 90.00 90.00 120.00°
Space group P3m1 (No. 156)
Inequivalent atoms, fractional coordinates:
Ba 0.0000 0.0000 0.0000 x1
Re 0.3333 0.6667 0.3819 x1
Tc 0.6667 0.3333 0.6178 x1

Compound: BaRe2Tc
Source: Alexandria via LeMat-Bulk
Functional: PBE-GGA
Structure: relaxed

- final energy (eV/cell) = -129.8
- relative energy among the computed polymorphs (meV per atom) = 445.2
- calculated formation energy (eV per atom) = 1.185
- mass density (g/cm3) = 9.263
- V (Å³ per atom) = 27.24

Cell: 5.074 5.074 16.928 Å, 90.00 90.00 90.00°
Space group I4_1/amd (No. 141, origin choice 2)
Inequivalent atoms, fractional coordinates:
Ba 0.000 0.250 0.375 x4
Re 0.000 0.000 0.000 x8
Tc 0.000 0.250 0.875 x4

Compound: BaRe2Tc
Source: Alexandria via LeMat-Bulk
Functional: PBE-GGA
Structure: relaxed

- final energy (eV/cell) = -127.4
- relative energy among the computed polymorphs (meV per atom) = 595.6
- calculated formation energy (eV per atom) = 1.335
- mass density (g/cm3) = 13.656
- V (Å³ per atom) = 18.48

Cell: 6.661 6.661 6.661 Å, 90.00 90.00 90.00°
Space group F-43m (No. 216)
Inequivalent atoms, fractional coordinates:
Ba 0.000 0.000 0.000 x4
Re 0.000 0.000 0.500 x4
Re 0.250 0.250 0.250 x4
Tc 0.250 0.250 0.750 x4

Compound: BaRe2Tc
Source: Alexandria via LeMat-Bulk
Functional: PBE-GGA
Structure: relaxed

- final energy (eV/cell) = -64.7
- relative energy among the computed polymorphs (meV per atom) = 473.7
- calculated formation energy (eV per atom) = 1.213
- mass density (g/cm3) = 12.956
- V (Å³ per atom) = 19.47

Cell: 2.863 5.144 10.578 Å, 90.00 90.00 90.00°
Space group Immm (No. 71)
Inequivalent atoms, fractional coordinates:
Ba 0.000 0.000 0.000 x2
Re 0.000 0.500 0.213 x4
Tc 0.000 0.000 0.500 x2

Compound: BaRe2Tc
Source: Alexandria via LeMat-Bulk
Functional: PBE-GGA
Structure: relaxed

- final energy (eV/cell) = -64.8
- relative energy among the computed polymorphs (meV per atom) = 461.4
- calculated formation energy (eV per atom) = 1.201
- mass density (g/cm3) = 12.160
- V (Å³ per atom) = 20.75

Cell: 3.056 5.523 9.835 Å, 90.00 90.00 90.00°
Space group Imm2 (No. 44)
Inequivalent atoms, fractional coordinates:
Ba 0.000 0.000 0.000 x2
Re 0.000 0.000 0.500 x2
Re 0.000 0.500 0.796 x2
Tc 0.000 0.500 0.207 x2

Compound: BaRe3Tc
Source: Alexandria via LeMat-Bulk
Functional: PBE-GGA
Structure: relaxed

- final energy (eV/cell) = -41.2
- relative energy among the computed polymorphs (meV per atom) = 0.0
- calculated formation energy (eV per atom) = 1.681
- mass density (g/cm3) = 11.568
- V (Å³ per atom) = 22.79

Cell: 4.848 4.848 4.848 Å, 90.00 90.00 90.00°
Space group Pm-3m (No. 221)
Inequivalent atoms, fractional coordinates:
Ba 0.000 0.000 0.000 x1
Re 0.000 0.500 0.500 x3
Tc 0.500 0.500 0.500 x1